<A>
Density functional theory data (PBE) for a geometry-optimized MnNi3S structure.

a = 4.3113 Å, b = 4.3113 Å, c = 4.3113 Å
α = 90.00°, β = 90.00°, γ = 90.00°
With the nearest neighbours (Å) after each atom.
Space group Pm-3m (No. 221)
Symmetry-distinct sites (fractional):
Mn  0.0000  0.0000  0.0000 (multiplicity 1)  6 Ni 2.16
Ni  0.0000  0.0000  0.5000 (multiplicity 3)  2 Mn 2.16
S  0.5000  0.5000  0.5000 (multiplicity 1)  12 Ni 3.05

<B>
Density functional theory data (PBE) for a geometry-optimized MnNi3S structure.

a = 4.1254 Å, b = 4.1254 Å, c = 4.1254 Å
α = 90.00°, β = 90.00°, γ = 90.00°
With the nearest neighbours (Å) after each atom.
Space group Pm-3m (No. 221)
Symmetry-distinct sites (fractional):
Mn  0.0000  0.0000  0.0000 (multiplicity 1)  12 Ni 2.92
Ni  0.0000  0.5000  0.5000 (multiplicity 3)  2 S 2.06
S  0.5000  0.5000  0.5000 (multiplicity 1)  6 Ni 2.06

Least stable: <A>

<A>
Density functional theory data (PBE) for a geometry-optimized MnNiSb2 structure.

a = 6.6113 Å, b = 6.6113 Å, c = 6.6113 Å
α = 90.00°, β = 90.00°, γ = 90.00°
With the nearest neighbours (Å) after each atom.
Space group Fm-3m (No. 225)
Symmetry-distinct sites (fractional):
Mn  0.0000  0.0000  0.0000 (multiplicity 4)  8 Sb 2.86
Ni  0.0000  0.0000  0.5000 (multiplicity 4)  8 Sb 2.86
Sb  0.2500  0.2500  0.2500 (multiplicity 8)  4 Mn 2.86, 4 Ni 2.86

<B>
Density functional theory data (PBE) for a geometry-optimized MnNiSb2 structure.

a = 4.0117 Å, b = 4.0117 Å, c = 5.3995 Å
α = 90.00°, β = 90.00°, γ = 120.00°
With the nearest neighbours (Å) after each atom.
Space group P-3m1 (No. 164)
Symmetry-distinct sites (fractional):
Mn  0.0000  0.0000  0.0000 (multiplicity 1)  2 Ni 2.70, 6 Sb 2.72
Ni  0.0000  0.0000  0.5000 (multiplicity 1)  6 Sb 2.64, 2 Mn 2.70
Sb  0.3333  0.6667  0.7365 (multiplicity 2)  3 Ni 2.64, 3 Mn 2.72

Least stable: <A>

<A>
Density functional theory data (PBE) for a geometry-optimized MnNiSb2 structure.

a = 3.2441 Å, b = 3.2441 Å, c = 7.7171 Å
α = 90.00°, β = 90.00°, γ = 90.00°
With the nearest neighbours (Å) after each atom.
Space group P4mm (No. 99)
Symmetry-distinct sites (fractional):
Mn  0.0000  0.0000  0.0000 (multiplicity 1)  4 Ni 2.60, 5 Sb 2.79-2.83
Ni  0.5000  0.5000  0.1590 (multiplicity 1)  4 Mn 2.60, 5 Sb 2.77-2.88
Sb  0.0000  0.0000  0.3610 (multiplicity 1)  4 Ni 2.77, 1 Mn 2.79
Sb  0.5000  0.5000  0.7857 (multiplicity 1)  4 Mn 2.83, 1 Ni 2.88

<B>
Density functional theory data (PBE) for a geometry-optimized MnNiSb2 structure.

a = 7.4542 Å, b = 3.7255 Å, c = 5.9059 Å
α = 90.00°, β = 106.64°, γ = 90.00°
With the nearest neighbours (Å) after each atom.
Space group C2/m (No. 12)
Symmetry-distinct sites (fractional):
Mn  0.0000  0.0000  0.0000 (multiplicity 2)  6 Sb 2.74-2.83
Ni  0.0000  0.5000  0.5000 (multiplicity 2)  6 Sb 2.64-2.67
Sb  0.2425  0.0000  0.7270 (multiplicity 4)  3 Ni 2.64-2.67, 3 Mn 2.74-2.83

Least stable: <B>

<A>
Density functional theory data (PBE) for a geometry-optimized MnNiSb structure.

a = 5.9051 Å, b = 5.9051 Å, c = 5.9051 Å
α = 90.00°, β = 90.00°, γ = 90.00°
With the nearest neighbours (Å) after each atom.
Space group F-43m (No. 216)
Symmetry-distinct sites (fractional):
Mn  0.0000  0.0000  0.0000 (multiplicity 4)  4 Ni 2.56
Ni  0.2500  0.2500  0.7500 (multiplicity 4)  4 Mn 2.56, 4 Sb 2.56
Sb  0.0000  0.0000  0.5000 (multiplicity 4)  4 Ni 2.56

<B>
Density functional theory data (PBE) for a geometry-optimized MnNiSb structure.

a = 6.0539 Å, b = 6.0539 Å, c = 6.0539 Å
α = 90.00°, β = 90.00°, γ = 90.00°
With the nearest neighbours (Å) after each atom.
Space group F-43m (No. 216)
Symmetry-distinct sites (fractional):
Mn  0.0000  0.0000  0.0000 (multiplicity 4)  4 Sb 2.62
Ni  0.0000  0.0000  0.5000 (multiplicity 4)  4 Sb 2.62
Sb  0.2500  0.2500  0.2500 (multiplicity 4)  4 Mn 2.62, 4 Ni 2.62

Least stable: <B>

<A>
Density functional theory data (PBE) for a geometry-optimized MnNiSb structure.

a = 3.4870 Å, b = 3.4870 Å, c = 7.8162 Å
α = 90.00°, β = 90.00°, γ = 90.00°
With the nearest neighbours (Å) after each atom.
Space group I4mm (No. 107)
Symmetry-distinct sites (fractional):
Mn  0.0000  0.0000  0.0000 (multiplicity 2)  5 Sb 2.59-2.80, 5 Ni 2.66-2.76
Ni  0.0000  0.0000  0.3399 (multiplicity 2)  5 Sb 2.57-2.81, 5 Mn 2.66-2.76
Sb  0.0000  0.0000  0.6687 (multiplicity 2)  5 Ni 2.57-2.81, 5 Mn 2.59-2.80

<B>
Density functional theory data (PBE) for a geometry-optimized MnNiSb structure.

a = 4.2764 Å, b = 4.2764 Å, c = 3.0728 Å
α = 90.00°, β = 90.00°, γ = 120.00°
With the nearest neighbours (Å) after each atom.
Space group P3m1 (No. 156)
Symmetry-distinct sites (fractional):
Mn  0.0000  0.0000  0.0000 (multiplicity 1)  6 Ni 2.90-2.92, 6 Sb 2.90-2.91, 2 Mn 3.07
Ni  0.6667  0.3333  0.4952 (multiplicity 1)  3 Sb 2.47
Sb  0.3333  0.6667  0.5022 (multiplicity 1)  3 Ni 2.47

Least stable: <A>

<A>
Density functional theory data (PBE) for a geometry-optimized Mn2NiSb2 structure.

a = 6.8792 Å, b = 6.8792 Å, c = 3.8811 Å
α = 90.00°, β = 90.00°, γ = 90.00°
With the nearest neighbours (Å) after each atom.
Space group P4/mbm (No. 127)
Symmetry-distinct sites (fractional):
Mn  0.1342  0.3658  0.0000 (multiplicity 4)  1 Mn 2.61, 6 Sb 2.75-2.84
Ni  0.0000  0.0000  0.5000 (multiplicity 2)  4 Sb 2.57
Sb  0.1661  0.6661  0.5000 (multiplicity 4)  2 Ni 2.57, 6 Mn 2.75-2.84

<B>
Density functional theory data (PBE) for a geometry-optimized Mn2NiSb2 structure.

a = 4.9107 Å, b = 4.9107 Å, c = 7.2545 Å
α = 90.00°, β = 90.00°, γ = 90.00°
With the nearest neighbours (Å) after each atom.
Space group I4/mmm (No. 139)
Symmetry-distinct sites (fractional):
Mn  0.0000  0.0000  0.1341 (multiplicity 4)  1 Mn 1.95
Ni  0.0000  0.0000  0.5000 (multiplicity 2)  2 Mn 2.65
Sb  0.0000  0.5000  0.2500 (multiplicity 4)  4 Mn 2.60

Least stable: <B>

<A>
Density functional theory data (PBE) for a geometry-optimized MnNiSb2Te structure.

a = 4.9347 Å, b = 4.9347 Å, c = 5.1109 Å
α = 90.00°, β = 90.00°, γ = 90.00°
With the nearest neighbours (Å) after each atom.
Space group P4/mmm (No. 123)
Symmetry-distinct sites (fractional):
Mn  0.0000  0.0000  0.0000 (multiplicity 1)  4 Sb 2.47, 2 Te 2.56
Ni  0.5000  0.5000  0.5000 (multiplicity 1)  4 Te 3.49, 8 Sb 3.55
Sb  0.0000  0.5000  0.0000 (multiplicity 2)  2 Mn 2.47
Te  0.0000  0.0000  0.5000 (multiplicity 1)  2 Mn 2.56

<B>
Density functional theory data (PBE) for a geometry-optimized MnNiSb2Te structure.

a = 4.8640 Å, b = 4.8640 Å, c = 5.1525 Å
α = 90.00°, β = 90.00°, γ = 90.00°
With the nearest neighbours (Å) after each atom.
Space group P4/mmm (No. 123)
Symmetry-distinct sites (fractional):
Mn  0.0000  0.0000  0.0000 (multiplicity 1)  4 Te 3.44, 8 Sb 3.54
Ni  0.5000  0.5000  0.5000 (multiplicity 1)  4 Sb 2.43, 2 Te 2.58
Sb  0.0000  0.5000  0.5000 (multiplicity 2)  2 Ni 2.43
Te  0.5000  0.5000  0.0000 (multiplicity 1)  2 Ni 2.58

Least stable: <B>

<A>
Density functional theory data (PBE) for a geometry-optimized MnNiSe2 structure.

a = 6.3097 Å, b = 6.3097 Å, c = 6.3097 Å
α = 90.00°, β = 90.00°, γ = 90.00°
With the nearest neighbours (Å) after each atom.
Space group Fm-3m (No. 225)
Symmetry-distinct sites (fractional):
Mn  0.0000  0.0000  0.0000 (multiplicity 4)  8 Se 2.73
Ni  0.0000  0.0000  0.5000 (multiplicity 4)  8 Se 2.73
Se  0.2500  0.2500  0.2500 (multiplicity 8)  4 Ni 2.73, 4 Mn 2.73

<B>
Density functional theory data (PBE) for a geometry-optimized MnNiSe2 structure.

a = 6.3406 Å, b = 3.6675 Å, c = 6.3480 Å
α = 90.00°, β = 109.51°, γ = 90.00°
With the nearest neighbours (Å) after each atom.
Space group C2/m (No. 12)
Symmetry-distinct sites (fractional):
Mn  0.0000  0.0000  0.0000 (multiplicity 2)  6 Se 2.64
Ni  0.0000  0.5000  0.5000 (multiplicity 2)  6 Se 2.54
Se  0.2447  0.0000  0.7354 (multiplicity 4)  3 Ni 2.54, 3 Mn 2.64

<C>
Density functional theory data (PBE) for a geometry-optimized MnNiSe2 structure.

a = 3.5317 Å, b = 7.1944 Å, c = 6.7818 Å
α = 90.00°, β = 90.00°, γ = 90.00°
With the nearest neighbours (Å) after each atom.
Space group Cmmm (No. 65)
Symmetry-distinct sites (fractional):
Mn  0.0000  0.0000  0.0000 (multiplicity 2)  4 Se 2.53
Ni  0.0000  0.0000  0.5000 (multiplicity 2)  4 Se 2.37
Se  0.0000  0.5000  0.2662 (multiplicity 4)  2 Ni 2.37, 2 Mn 2.53

Least stable: <C>

<A>
Density functional theory data (PBE) for a geometry-optimized MnNiSe2 structure.

a = 3.3471 Å, b = 3.3471 Å, c = 6.5731 Å
α = 90.00°, β = 90.00°, γ = 90.00°
With the nearest neighbours (Å) after each atom.
Space group P4mm (No. 99)
Symmetry-distinct sites (fractional):
Mn  0.0000  0.0000  0.0000 (multiplicity 1)  5 Se 2.36-2.54
Ni  0.5000  0.5000  0.2214 (multiplicity 1)  5 Se 2.38-2.53
Se  0.0000  0.0000  0.3587 (multiplicity 1)  1 Mn 2.36, 4 Ni 2.53
Se  0.5000  0.5000  0.8598 (multiplicity 1)  1 Ni 2.38, 4 Mn 2.54

<B>
Density functional theory data (PBE) for a geometry-optimized MnNiSe2 structure.

a = 3.7270 Å, b = 3.7270 Å, c = 5.6554 Å
α = 90.00°, β = 90.00°, γ = 120.00°
With the nearest neighbours (Å) after each atom.
Space group P-3m1 (No. 164)
Symmetry-distinct sites (fractional):
Mn  0.0000  0.0000  0.0000 (multiplicity 1)  6 Se 2.62, 2 Ni 2.83
Ni  0.0000  0.0000  0.5000 (multiplicity 1)  6 Se 2.53, 2 Mn 2.83
Se  0.3333  0.6667  0.2657 (multiplicity 2)  3 Ni 2.53, 3 Mn 2.62

Least stable: <A>

<A>
Density functional theory data (PBE) for a geometry-optimized MnNiSe2 structure.

a = 4.3741 Å, b = 4.3741 Å, c = 3.2142 Å
α = 90.00°, β = 90.00°, γ = 90.00°
With the nearest neighbours (Å) after each atom.
Space group P4/mmm (No. 123)
Symmetry-distinct sites (fractional):
Mn  0.0000  0.0000  0.0000 (multiplicity 1)  8 Se 2.71
Ni  0.5000  0.5000  0.0000 (multiplicity 1)  8 Se 2.71
Se  0.0000  0.5000  0.5000 (multiplicity 2)  4 Mn 2.71, 4 Ni 2.71

<B>
Density functional theory data (PBE) for a geometry-optimized MnNiSe2 structure.

a = 5.8115 Å, b = 7.0709 Å, c = 4.4896 Å
α = 90.00°, β = 127.76°, γ = 90.00°
With the nearest neighbours (Å) after each atom.
Space group C2/m (No. 12)
Symmetry-distinct sites (fractional):
Mn  0.0000  0.0000  0.0000 (multiplicity 2)  4 Se 2.51
Ni  0.0000  0.5000  0.0000 (multiplicity 2)  4 Se 2.51
Se  0.2500  0.2500  0.5000 (multiplicity 4)  2 Mn 2.51, 2 Ni 2.51

Least stable: <B>

<A>
Density functional theory data (PBE) for a geometry-optimized MnNiSe2 structure.

a = 5.3843 Å, b = 5.3843 Å, c = 10.4723 Å
α = 90.00°, β = 90.00°, γ = 90.00°
With the nearest neighbours (Å) after each atom.
Space group I-42d (No. 122)
Symmetry-distinct sites (fractional):
Mn  0.0000  0.0000  0.0000 (multiplicity 4)  4 Se 2.29
Ni  0.0000  0.0000  0.5000 (multiplicity 4)  4 Se 2.33
Se  0.2432  0.2500  0.1250 (multiplicity 8)  2 Mn 2.29, 2 Ni 2.33

<B>
Density functional theory data (PBE) for a geometry-optimized MnNiSe2 structure.

a = 5.2179 Å, b = 3.3039 Å, c = 5.5700 Å
α = 90.00°, β = 91.98°, γ = 90.00°
With the nearest neighbours (Å) after each atom.
Space group P2/m (No. 10)
Symmetry-distinct sites (fractional):
Mn  0.0000  0.0000  0.0000 (multiplicity 1)  4 Se 2.50, 2 Ni 2.61
Ni  0.5000  0.0000  0.0000 (multiplicity 1)  4 Se 2.39, 2 Mn 2.61
Se  0.2620  0.5000  0.7781 (multiplicity 2)  2 Ni 2.39, 2 Mn 2.50

<C>
Density functional theory data (PBE) for a geometry-optimized MnNiSe2 structure.

a = 3.5921 Å, b = 3.8805 Å, c = 12.1277 Å
α = 90.00°, β = 90.00°, γ = 90.00°
With the nearest neighbours (Å) after each atom.
Space group Immm (No. 71)
Symmetry-distinct sites (fractional):
Mn  0.0000  0.0000  0.0000 (multiplicity 2)  4 Se 2.51, 4 Ni 2.64
Ni  0.0000  0.0000  0.5000 (multiplicity 2)  4 Se 2.40, 4 Mn 2.64
Se  0.0000  0.5000  0.1318 (multiplicity 4)  2 Ni 2.40, 2 Mn 2.51

<D>
Density functional theory data (PBE) for a geometry-optimized MnNiSe2 structure.

a = 3.6061 Å, b = 3.6061 Å, c = 18.4110 Å
α = 90.00°, β = 90.00°, γ = 120.00°
With the nearest neighbours (Å) after each atom.
Space group R3m (No. 160, hexagonal axes)
Symmetry-distinct sites (fractional):
Mn  0.0000  0.0000  0.0000 (multiplicity 3)  6 Se 2.63-2.70, 1 Ni 2.94
Ni  0.0000  0.0000  0.8404 (multiplicity 3)  6 Se 2.47-2.55
Se  0.0000  0.0000  0.2460 (multiplicity 3)  3 Ni 2.47, 3 Mn 2.63
Se  0.0000  0.0000  0.4268 (multiplicity 3)  3 Ni 2.55, 3 Mn 2.70

Least stable: <A>

<A>
Density functional theory data (PBE) for a geometry-optimized MnNiSe2 structure.

a = 6.4090 Å, b = 3.7083 Å, c = 6.8486 Å
α = 90.00°, β = 108.44°, γ = 90.00°
With the nearest neighbours (Å) after each atom.
Space group Cm (No. 8)
Symmetry-distinct sites (fractional):
Mn  0.0000  0.0000  0.0000 (multiplicity 2)  3 Se 2.49, 3 Ni 2.56
Ni  0.2399  0.5000  0.2175 (multiplicity 2)  3 Se 2.27
Se  0.2670  0.0000  0.8027 (multiplicity 2)  3 Mn 2.49
Se  0.4457  0.0000  0.3351 (multiplicity 2)  3 Ni 2.27

<B>
Density functional theory data (PBE) for a geometry-optimized MnNiSe2 structure.

a = 3.6969 Å, b = 3.6969 Å, c = 5.9104 Å
α = 90.00°, β = 90.00°, γ = 90.00°
With the nearest neighbours (Å) after each atom.
Space group P-4m2 (No. 115)
Symmetry-distinct sites (fractional):
Mn  0.0000  0.0000  0.0000 (multiplicity 1)  4 Se 2.33
Ni  0.5000  0.5000  0.0000 (multiplicity 1)  4 Se 2.33
Se  0.0000  0.5000  0.2409 (multiplicity 2)  2 Mn 2.33, 2 Ni 2.33

<C>
Density functional theory data (PBE) for a geometry-optimized MnNiSe2 structure.

a = 3.3234 Å, b = 3.4372 Å, c = 11.8695 Å
α = 90.00°, β = 90.00°, γ = 90.00°
With the nearest neighbours (Å) after each atom.
Space group Imm2 (No. 44)
Symmetry-distinct sites (fractional):
Mn  0.0000  0.0000  0.0000 (multiplicity 2)  6 Se 2.56-2.66
Ni  0.0000  0.5000  0.7027 (multiplicity 2)  4 Se 2.44
Se  0.0000  0.0000  0.4025 (multiplicity 2)  4 Mn 2.66, 2 Ni 2.90
Se  0.0000  0.5000  0.1598 (multiplicity 2)  4 Ni 2.44, 2 Mn 2.56

Least stable: <C>

<A>
Density functional theory data (PBE) for a geometry-optimized MnNiSe structure.

a = 5.7715 Å, b = 5.7715 Å, c = 5.7715 Å
α = 90.00°, β = 90.00°, γ = 90.00°
With the nearest neighbours (Å) after each atom.
Space group F-43m (No. 216)
Symmetry-distinct sites (fractional):
Mn  0.0000  0.0000  0.0000 (multiplicity 4)  4 Ni 2.50
Ni  0.2500  0.2500  0.7500 (multiplicity 4)  4 Mn 2.50, 4 Se 2.50
Se  0.0000  0.0000  0.5000 (multiplicity 4)  4 Ni 2.50

<B>
Density functional theory data (PBE) for a geometry-optimized MnNiSe structure.

a = 5.9964 Å, b = 6.0475 Å, c = 6.1816 Å
α = 68.05°, β = 69.07°, γ = 87.18°
With the nearest neighbours (Å) after each atom.
Space group P1 (No. 1)
Symmetry-distinct sites (fractional):
Mn  0.0000  0.0000  0.0000 (multiplicity 1)  4 Se 2.49-2.61, 3 Ni 2.52-2.68
Mn  0.0110  0.4856  0.4692 (multiplicity 1)  2 Ni 2.45-2.49, 2 Se 2.46-2.63
Mn  0.1366  0.5451  0.9196 (multiplicity 1)  4 Ni 2.48-2.61, 2 Se 2.55-2.64
Mn  0.4583  0.2955  0.6226 (multiplicity 1)  4 Ni 2.47-2.70, 1 Se 2.71
Ni  0.3222  0.1696  0.0829 (multiplicity 1)  3 Se 2.45-2.53, 3 Mn 2.47-2.52, 1 Ni 2.60
Ni  0.3398  0.7202  0.4579 (multiplicity 1)  3 Se 2.35-2.42, 3 Mn 2.45-2.55, 1 Ni 2.54
Ni  0.7097  0.5984  0.1830 (multiplicity 1)  3 Se 2.36-2.50, 2 Ni 2.54, 2 Mn 2.58
Ni  0.8748  0.1964  0.3304 (multiplicity 1)  3 Se 2.39-2.47, 3 Mn 2.49-2.61, 2 Ni 2.54-2.60
Se  0.1419  0.0488  0.5527 (multiplicity 1)  3 Ni 2.40-2.53, 2 Mn 2.49-2.63
Se  0.3758  0.7806  0.0447 (multiplicity 1)  3 Ni 2.37-2.50, 2 Mn 2.55-2.61
Se  0.7257  0.7919  0.4498 (multiplicity 1)  3 Ni 2.35-2.39, 2 Mn 2.46-2.52
Se  0.7320  0.3346  0.9770 (multiplicity 1)  3 Ni 2.36-2.47, 1 Mn 2.52

Least stable: <B>